A geometry-optimized HfSc2H structure. Source: Alexandria, functional PBE-GGA.

Summary:
The crystal system is tetragonal. The energy above the most stable polymorph in this dataset comes out at 0.282 eV/atom. As for the space group: No. 123.

a = 3.0433 Å, b = 3.0433 Å, c = 7.6801 Å
α = 90.00°, β = 90.00°, γ = 90.00°
Last column: nearest neighbours and their distance in Å.
Fractional coordinates of all 4 atoms:
Sc (0.0000, 0.0000, 0.8033)  4 H 2.63
Hf (0.5000, 0.5000, 0.5000)  4 Hf 3.04, 8 Sc 3.17
Sc (0.0000, 0.0000, 0.1967)  4 H 2.63
H (0.5000, 0.5000, 0.0000)  8 Sc 2.63

=====

A geometry-optimized HfScH4 structure. Source: Alexandria, functional PBE-GGA.

Summary:
The crystal system is tetragonal. The energy above the most stable polymorph in this dataset comes out at 0.000 eV/atom. As for the space group: No. 141.

a = 4.7371 Å, b = 4.7371 Å, c = 5.7443 Å
α = 114.35°, β = 114.35°, γ = 90.00°
Last column: nearest neighbours and their distance in Å.
Fractional coordinates of all 12 atoms:
Sc (0.0000, 0.0000, 0.0000)  8 H 2.05
H (0.6203, 0.6250, 0.7500)  2 Hf 2.03, 2 Sc 2.05
Sc (0.7500, 0.2500, 0.5000)  8 H 2.05
Hf (0.2500, 0.7500, 0.5000)  8 H 2.03
Hf (0.5000, 0.5000, 0.0000)  8 H 2.03
H (0.8750, 0.3797, 0.2500)  2 Hf 2.03, 2 Sc 2.05
H (0.3750, 0.3797, 0.2500)  2 Hf 2.03, 2 Sc 2.05
H (0.8750, 0.8703, 0.2500)  2 Hf 2.03, 2 Sc 2.05
H (0.1297, 0.6250, 0.7500)  2 Hf 2.03, 2 Sc 2.05
H (0.6203, 0.1250, 0.7500)  2 Hf 2.03, 2 Sc 2.05
H (0.1297, 0.1250, 0.7500)  2 Hf 2.03, 2 Sc 2.05
H (0.3750, 0.8703, 0.2500)  2 Hf 2.03, 2 Sc 2.05

=====

A geometry-optimized Hf3ScH structure. Source: Alexandria, functional PBE-GGA.

Summary:
The crystal system is cubic. The energy above the most stable polymorph in this dataset comes out at 1.991 eV/atom. As for the space group: No. 221.

a = 5.0398 Å, b = 5.0398 Å, c = 5.0398 Å
α = 90.00°, β = 90.00°, γ = 90.00°
Last column: nearest neighbours and their distance in Å.
Fractional coordinates of all 5 atoms:
H (0.5000, 0.5000, 0.5000)  12 Hf 3.56
Sc (0.0000, 0.0000, 0.0000)  6 Hf 2.52
Hf (0.5000, 0.0000, 0.0000)  2 Sc 2.52
Hf (0.0000, 0.0000, 0.5000)  2 Sc 2.52
Hf (0.0000, 0.5000, 0.0000)  2 Sc 2.52

=====

A geometry-optimized HfScH structure. Source: Alexandria, functional PBE-GGA.

Summary:
The crystal system is orthorhombic. The energy above the most stable polymorph in this dataset comes out at 0.100 eV/atom. As for the space group: No. 62.

a = 5.3788 Å, b = 6.6344 Å, c = 5.3795 Å
α = 90.00°, β = 90.00°, γ = 90.00°
Last column: nearest neighbours and their distance in Å.
Fractional coordinates of all 12 atoms:
Hf (0.9936, 0.7500, 0.5019)  2 H 2.03-2.05
Sc (0.5000, 0.0000, 0.5000)  2 H 2.03
Sc (0.0000, 0.0000, 0.0000)  2 H 2.03
Hf (0.0064, 0.2500, 0.4981)  2 H 2.03-2.05
H (0.6484, 0.7500, 0.3415)  2 Hf 2.03-2.05, 2 Sc 2.03
H (0.1484, 0.7500, 0.1585)  2 Hf 2.03-2.05, 2 Sc 2.03
H (0.3516, 0.2500, 0.6585)  2 Hf 2.03-2.05, 2 Sc 2.03
Sc (0.5000, 0.5000, 0.5000)  2 H 2.03
Sc (0.0000, 0.5000, 0.0000)  2 H 2.03
Hf (0.5064, 0.2500, 0.0019)  2 H 2.03-2.05
Hf (0.4936, 0.7500, 0.9981)  2 H 2.03-2.05
H (0.8516, 0.2500, 0.8415)  2 Hf 2.03-2.05, 2 Sc 2.03

=====

A geometry-optimized Hf5Sc2H12 structure. Source: Alexandria, functional PBE-GGA.

Summary:
The crystal system is monoclinic. As for the space group: No. 12.

a = 5.9357 Å, b = 6.3673 Å, c = 6.3105 Å
α = 115.21°, β = 90.00°, γ = 117.78°
Last column: nearest neighbours and their distance in Å.
Fractional coordinates of all 19 atoms:
H (0.8621, 0.2852, 0.5666)  1 H 2.05, 4 Hf 2.10-2.21
Sc (0.2394, 0.0000, 0.0000)  6 H 1.98-2.06
H (0.1050, 0.6130, 0.8931)  3 Hf 1.96-2.14, 1 Sc 1.98, 1 H 2.05
Hf (0.2838, 0.5676, 0.1177)  7 H 1.96-2.18
H (0.5769, 0.7148, 0.4334)  1 H 2.05, 4 Hf 2.10-2.21
H (0.4988, 0.9975, 0.7834)  2 Sc 2.06, 2 Hf 2.22
H (0.5012, 0.0025, 0.2166)  2 Sc 2.06, 2 Hf 2.22
H (0.0796, 0.1593, 0.8786)  2 Sc 2.02, 2 Hf 2.06-2.11, 2 H 2.25
Hf (0.7162, 0.4324, 0.8823)  7 H 1.96-2.18
H (0.4231, 0.2852, 0.5666)  1 H 2.05, 4 Hf 2.10-2.21
Hf (0.0000, 0.0000, 0.5000)  6 H 2.11-2.21
H (0.8950, 0.3870, 0.1069)  3 Hf 1.96-2.14, 1 Sc 1.98, 1 H 2.05
H (0.9204, 0.8407, 0.1214)  2 Sc 2.02, 2 Hf 2.06-2.11, 2 H 2.25
Hf (0.2736, 0.5472, 0.5876)  7 H 2.10-2.22
H (0.1379, 0.7148, 0.4334)  1 H 2.05, 4 Hf 2.10-2.21
H (0.5079, 0.6130, 0.8931)  3 Hf 1.96-2.14, 1 Sc 1.98, 1 H 2.05
Sc (0.7605, 0.0000, 0.0000)  6 H 1.98-2.06
H (0.4921, 0.3870, 0.1069)  3 Hf 1.96-2.14, 1 Sc 1.98, 1 H 2.05
Hf (0.7264, 0.4528, 0.4124)  7 H 2.10-2.22

=====

A geometry-optimized HfScH4 structure. Source: Alexandria, functional PBE-GGA.

Summary:
The crystal system is tetragonal. The energy above the most stable polymorph in this dataset comes out at 0.252 eV/atom. As for the space group: No. 109.

a = 5.3674 Å, b = 5.3674 Å, c = 5.3674 Å
α = 113.94°, β = 113.94°, γ = 100.86°
Last column: nearest neighbours and their distance in Å.
Fractional coordinates of all 12 atoms:
H (0.6741, 0.5020, 0.1721)  2 Sc 1.92-1.97, 1 Hf 1.95, 1 H 2.01
Hf (0.7460, 0.7460, 0.0000)  6 H 1.94-1.99
H (0.7479, 0.0787, 0.3308)  2 Hf 1.94-1.99, 1 H 1.98, 1 Sc 2.01
H (0.1671, 0.9979, 0.1692)  2 Hf 1.94-1.99, 1 H 1.98, 1 Sc 2.01
H (0.2520, 0.9241, 0.6721)  2 Sc 1.92-1.97, 1 Hf 1.95, 1 H 2.01
Sc (0.0042, 0.5042, 0.5000)  6 H 1.92-2.01
H (0.3299, 0.5020, 0.8279)  2 Sc 1.92-1.97, 1 Hf 1.95, 1 H 2.01
Hf (0.4960, 0.9960, 0.5000)  6 H 1.94-1.99
H (0.8287, 0.9979, 0.8308)  2 Hf 1.94-1.99, 1 H 1.98, 1 Sc 2.01
H (0.7479, 0.4171, 0.6692)  2 Hf 1.94-1.99, 1 H 1.98, 1 Sc 2.01
Sc (0.2542, 0.2542, 0.0000)  6 H 1.92-2.01
H (0.2520, 0.5799, 0.3279)  2 Sc 1.92-1.97, 1 Hf 1.95, 1 H 2.01

=====

A geometry-optimized HfSc2H structure. Source: Alexandria, functional PBE-GGA.

Summary:
The crystal system is trigonal. The energy above the most stable polymorph in this dataset comes out at 0.342 eV/atom. As for the space group: No. 166.

a = 9.0195 Å, b = 9.0195 Å, c = 9.0195 Å
α = 20.80°, β = 20.80°, γ = 20.80°
Last column: nearest neighbours and their distance in Å.
Fractional coordinates of all 4 atoms:
H (0.0000, 0.0000, 0.0000)  2 Sc 1.91
Sc (0.9280, 0.9280, 0.9280)  1 H 1.91
Hf (0.5000, 0.5000, 0.5000)  6 Sc 3.13, 6 Hf 3.26
Sc (0.0720, 0.0720, 0.0720)  1 H 1.91

=====

A geometry-optimized Hf2ScH2 structure. Source: Alexandria, functional PBE-GGA.

Summary:
The crystal system is tetragonal. The energy above the most stable polymorph in this dataset comes out at 0.757 eV/atom. As for the space group: No. 127.

a = 7.4732 Å, b = 7.4732 Å, c = 2.8726 Å
α = 90.00°, β = 90.00°, γ = 90.00°
Last column: nearest neighbours and their distance in Å.
Fractional coordinates of all 10 atoms:
Hf (0.8654, 0.6346, 0.0000)  4 H 2.26
Sc (0.5000, 0.5000, 0.0000)  2 Sc 2.87, 4 Hf 2.91
H (0.4053, 0.0947, 0.5000)  1 H 2.00
Hf (0.1346, 0.3654, 0.0000)  4 H 2.26
H (0.0947, 0.5947, 0.5000)  1 H 2.00
Hf (0.3654, 0.8654, 0.0000)  4 H 2.26
H (0.9053, 0.4053, 0.5000)  1 H 2.00
Sc (0.0000, 0.0000, 0.0000)  2 Sc 2.87, 4 Hf 2.91
Hf (0.6346, 0.1346, 0.0000)  4 H 2.26
H (0.5947, 0.9053, 0.5000)  1 H 2.00

=====

Number 1: volume 17.782 A^3/atom, E_tot -25.584 eV/cell. Number 2: volume 8.727 A^3/atom, E_tot -66.916 eV/cell. Number 3: volume 25.602 A^3/atom, E_tot -29.881 eV/cell. Number 4: volume 15.997 A^3/atom, E_tot -80.251 eV/cell. Number 5: volume 9.734 A^3/atom, E_tot -108.429 eV/cell. Number 6: volume 9.755 A^3/atom, E_tot -63.890 eV/cell. Number 7: volume 20.261 A^3/atom, E_tot -25.345 eV/cell. Number 8: volume 16.043 A^3/atom, E_tot -59.732 eV/cell.